# 1
This record from the Alexandria database describes PmTi2Nb after structural relaxation. The functional is PBE.

Geometry as POSCAR:
```
PmTi2Nb
1.0
3.4645 0.0000 0.0000
0.0000 3.4645 0.0000
0.0000 0.0000 7.0648
Pm Ti Nb
1 2 1
direct
0.0000 0.0000 0.0000
0.5000 0.5000 0.3049
0.5000 0.5000 0.6951
0.0000 0.0000 0.5000
```

- Formation energy: 0.128 eV/atom


# 2
This record from the Alexandria database describes PmNbTl after structural relaxation. The functional is PBE.

Geometry as POSCAR:
```
PmNbTl
1.0
3.5349 0.0000 0.0000
0.0000 24.8089 0.0000
0.0000 0.0000 3.5477
Pm Nb Tl
4 4 4
direct
0.0000 0.0647 0.2500
0.0000 0.9353 0.7500
0.5000 0.4353 0.7500
0.5000 0.5647 0.2500
0.0000 0.2249 0.2500
0.0000 0.7751 0.7500
0.5000 0.2751 0.7500
0.5000 0.7249 0.2500
0.0000 0.3489 0.2500
0.0000 0.6511 0.7500
0.5000 0.1511 0.7500
0.5000 0.8489 0.2500
```

- Formation energy: 0.066 eV/atom


# 3
This record from the Alexandria database describes PmNb2V after structural relaxation. The functional is PBE.

Geometry as POSCAR:
```
PmNb2V
1.0
3.1002 0.0000 0.0000
-1.5501 2.6848 0.0000
0.0000 0.0000 29.7253
Pm Nb V
3 6 3
direct
0.0000 0.0000 0.0000
0.3333 0.6667 0.6667
0.6667 0.3333 0.3333
0.0000 0.0000 0.1010
0.0000 0.0000 0.8990
0.3333 0.6667 0.5656
0.3333 0.6667 0.7677
0.6667 0.3333 0.2323
0.6667 0.3333 0.4344
0.0000 0.0000 0.5000
0.3333 0.6667 0.1667
0.6667 0.3333 0.8333
```

- Formation energy: 0.547 eV/atom


# 4
This record from the Alexandria database describes PmNbV after structural relaxation. The functional is PBE.

Geometry as POSCAR:
```
PmNbV
1.0
7.9487 0.0000 0.0000
0.0000 6.9635 0.0000
0.0000 0.0000 4.6881
Pm Nb V
4 4 4
direct
0.1427 0.0883 0.2500
0.1427 0.4117 0.7500
0.8573 0.5883 0.2500
0.8573 0.9117 0.7500
0.4850 0.1210 0.7500
0.4850 0.3790 0.2500
0.5150 0.6210 0.7500
0.5150 0.8790 0.2500
0.2625 0.6692 0.2500
0.2625 0.8308 0.7500
0.7375 0.1692 0.2500
0.7375 0.3308 0.7500
```

- Formation energy: 0.259 eV/atom